[1]
The following is a DFT calculation (PBE) of PmLuMnZn after structural relaxation.

The structure belongs to space group F-43m (No. 216); the cell edges are 7.110, 7.110 and 7.110 Å and the angles 90.00°, 90.00° and 90.00°. The inequivalent atoms are Pm at (0.000, 0.000, 0.000), Lu at (0.000, 0.000, 0.500), Mn at (0.250, 0.250, 0.250) and Zn at (0.250, 0.250, 0.750).

As for the formation energy: -26 meV/atom.

---

[2]
The following is a DFT calculation (PBE) of PrLu3Mn after structural relaxation.

The structure belongs to space group Pm-3m (No. 221); the cell edges are 5.234, 5.234 and 5.234 Å and the angles 90.00°, 90.00° and 90.00°. The inequivalent atoms are Pr at (0.000, 0.000, 0.000), Lu at (0.000, 0.500, 0.500) and Mn at (0.500, 0.500, 0.500).

As for the formation energy: 175 meV/atom.

---

[3]
The following is a DFT calculation (PBE) of PrLuMn after structural relaxation.

The structure belongs to space group I4mm (No. 107); the cell edges are 3.524, 3.524 and 12.772 Å and the angles 90.00°, 90.00° and 90.00°. The inequivalent atoms are Pr at (0.000, 0.000, 0.000), Lu at (0.000, 0.000, 0.278) and Mn at (0.000, 0.000, 0.651).

As for the formation energy: 189 meV/atom.